(1)
# AlTcPO, optimized geometry, DFT PBE-GGA
# **Energy above the most stable polymorph in this dataset**: 28.45 kcal/mol of atoms
# **Total moment**: 1.04 μB/cell
data_AlTcPO
_chemical_formula_sum 'Al2 Tc2 P2 O2'
_space_group_name_H-M_alt 'P 4/n m m'
_space_group_IT_number 129
_cell_length_a 3.5461
_cell_length_b 3.5461
_cell_length_c 8.0595
_cell_angle_alpha 90.00
_cell_angle_beta 90.00
_cell_angle_gamma 90.00
loop_
_space_group_symop_operation_xyz
'x,y,z'
'-x,-y,-z'
'-y+1/2,x,z'
'y+1/2,-x,-z'
'-x+1/2,-y+1/2,z'
'x+1/2,y+1/2,-z'
'y,-x+1/2,z'
'-y,x+1/2,-z'
'x+1/2,-y,-z'
'-x+1/2,y,z'
'-y,-x,-z'
'y,x,z'
'-x,y+1/2,-z'
'x,-y+1/2,z'
'y+1/2,x+1/2,-z'
'-y+1/2,-x+1/2,z'
loop_
_atom_site_label
_atom_site_type_symbol
_atom_site_fract_x
_atom_site_fract_y
_atom_site_fract_z
Al1 Al 0.2500 0.7500 0.0000
Tc1 Tc 0.2500 0.2500 0.3438
P1 P 0.2500 0.2500 0.7850
O1 O 0.2500 0.7500 0.5000

(2)
# ZrAlPO, optimized geometry, DFT PBE-GGA
# **Energy above the most stable polymorph in this dataset**: 6.06 kcal/mol of atoms
# **Total moment**: 0.02 μB/cell
data_ZrAlPO
_chemical_formula_sum 'Zr2 Al2 P2 O2'
_space_group_name_H-M_alt 'P 4/n m m'
_space_group_IT_number 129
_cell_length_a 3.8672
_cell_length_b 3.8672
_cell_length_c 9.4229
_cell_angle_alpha 90.00
_cell_angle_beta 90.00
_cell_angle_gamma 90.00
loop_
_space_group_symop_operation_xyz
'x,y,z'
'-x,-y,-z'
'-y+1/2,x,z'
'y+1/2,-x,-z'
'-x+1/2,-y+1/2,z'
'x+1/2,y+1/2,-z'
'y,-x+1/2,z'
'-y,x+1/2,-z'
'x+1/2,-y,-z'
'-x+1/2,y,z'
'-y,-x,-z'
'y,x,z'
'-x,y+1/2,-z'
'x,-y+1/2,z'
'y+1/2,x+1/2,-z'
'-y+1/2,-x+1/2,z'
loop_
_atom_site_label
_atom_site_type_symbol
_atom_site_fract_x
_atom_site_fract_y
_atom_site_fract_z
Zr1 Zr 0.2500 0.7500 0.0000
Al1 Al 0.2500 0.2500 0.4346
P1 P 0.2500 0.2500 0.1921
O1 O 0.2500 0.7500 0.5000

Question: Which of these has the highest total moment?
Answer: AlTcPO